# 1
Density functional theory data (PBE) for a relaxed structure of PmNiPb.

Cell: 4.6009 4.5760 6.8321 Å, 90.00 90.88 90.00°
Last column: nearest neighbours and their distance in Å.
Fractional coordinates of all 6 atoms:
Pm 0.2459 0.2500 0.2186  4 Ni 2.90-3.09, 2 Pb 3.24
Pm 0.7541 0.7500 0.7814  4 Ni 2.90-3.09, 2 Pb 3.24
Ni 0.2746 0.7500 0.5000  4 Pb 2.71-2.81, 3 Pm 2.90-2.99
Ni 0.7254 0.2500 0.5000  4 Pb 2.71-2.81, 3 Pm 2.90-2.99
Pb 0.2433 0.2500 0.7225  4 Ni 2.71-2.81
Pb 0.7567 0.7500 0.2775  4 Ni 2.71-2.81

## Properties
Energy relative to the lowest polymorph listed for this composition in meV/atom: 0
Total magnetization in μB per formula unit: 0.000
ΔE_f in meV/atom: -388

***

# 2
Density functional theory data (PBE) for a relaxed structure of NaMgP2Cl.

Cell: 4.9335 4.9335 5.2560 Å, 90.00 90.00 90.00°
Last column: nearest neighbours and their distance in Å.
Fractional coordinates of all 5 atoms:
Na 0.0000 0.0000 0.0000  4 Cl 3.49, 8 P 3.60
Mg 0.5000 0.5000 0.5000  4 P 2.47, 2 Cl 2.63
P 0.0000 0.5000 0.5000  2 Mg 2.47
P 0.5000 0.0000 0.5000  2 Mg 2.47
Cl 0.5000 0.5000 0.0000  2 Mg 2.63

## Properties
Energy relative to the lowest polymorph listed for this composition in meV/atom: 0
Total magnetization in μB per formula unit: 1.783

***

# 3
Density functional theory data (PBE) for a relaxed structure of Np3Ni2Se2S4.

Cell: 13.5422 13.5422 13.5422 Å, 162.67 162.67 24.61°
Last column: nearest neighbours and their distance in Å.
Fractional coordinates of all 11 atoms:
Np 0.0000 0.0000 0.0000  8 S 2.71
Np 0.1372 0.1372 0.0000  1 Ni 2.70, 4 S 2.76
Np 0.8628 0.8628 0.0000  1 Ni 2.70, 4 S 2.76
Ni 0.2393 0.2393 0.0000  1 Se 2.27
Ni 0.7607 0.7607 0.0000  1 Se 2.27
Se 0.3252 0.3252 0.0000  1 Ni 2.27
Se 0.6748 0.6748 0.0000  1 Ni 2.27
S 0.0673 0.5673 0.5000  4 Np 2.71-2.76, 4 S 2.89
S 0.4327 0.9327 0.5000  4 Np 2.71-2.76, 4 S 2.89
S 0.5673 0.0673 0.5000  4 Np 2.71-2.76, 4 S 2.89
S 0.9327 0.4327 0.5000  4 Np 2.71-2.76, 4 S 2.89

## Properties
Total magnetization in μB per formula unit: 9.776
Energy in eV/atom: -7.289

***

# 4
Density functional theory data (PBE) for a relaxed structure of K2LiCu2I6.

Cell: 8.3404 8.3404 8.8312 Å, 117.00 117.00 55.22°
Last column: nearest neighbours and their distance in Å.
Fractional coordinates of all 11 atoms:
K 0.2225 0.2225 0.2102  5 I 3.53-3.78
K 0.7775 0.7775 0.7898  5 I 3.53-3.78
Li 0.0000 0.0000 0.5000  4 I 2.93
Cu 0.4456 0.4456 0.7424  3 I 2.49-2.52
Cu 0.5544 0.5544 0.2576  3 I 2.49-2.52
I 0.1795 0.6969 0.2066  1 Cu 2.52
I 0.2536 0.2536 0.6336  1 Cu 2.49
I 0.3031 0.8205 0.7934  1 Cu 2.52
I 0.6969 0.1795 0.2066  1 Cu 2.52
I 0.7464 0.7464 0.3664  1 Cu 2.49
I 0.8205 0.3031 0.7934  1 Cu 2.52

## Properties
Total magnetization in μB per formula unit: 0.000
Energy in eV/atom: -2.728

***

# 5
Density functional theory data (PBE) for a relaxed structure of La2TiSb3Pt4.

Cell: 4.5166 4.5166 10.9587 Å, 90.00 90.00 90.00°
Last column: nearest neighbours and their distance in Å.
Fractional coordinates of all 10 atoms:
La 0.0000 0.5000 0.2396  6 Sb 3.39-3.64, 8 Pt 3.46-3.52, 2 Ti 3.64
La 0.5000 0.0000 0.7604  6 Sb 3.39-3.64, 8 Pt 3.46-3.52, 2 Ti 3.64
Ti 0.0000 0.0000 0.5000  4 Pt 2.65
Sb 0.0000 0.5000 0.8652  5 Pt 2.62-2.70
Sb 0.5000 0.0000 0.1348  5 Pt 2.62-2.70
Sb 0.5000 0.5000 0.5000  4 Pt 2.65
Pt 0.0000 0.0000 0.0000  4 Sb 2.70
Pt 0.0000 0.5000 0.6258  3 Sb 2.62-2.65, 2 Ti 2.65
Pt 0.5000 0.0000 0.3742  3 Sb 2.62-2.65, 2 Ti 2.65
Pt 0.5000 0.5000 0.0000  4 Sb 2.70

## Properties
Total magnetization in μB per formula unit: 0.000
Energy in eV/atom: -6.358

***

# 6
Density functional theory data (PBE) for a relaxed structure of Tm3Co2Si4.

Cell: 5.5404 5.5404 7.7482 Å, 105.46 105.46 42.46°
Last column: nearest neighbours and their distance in Å.
Fractional coordinates of all 9 atoms:
Tm 0.0000 0.0000 0.0000  8 Si 2.94-3.16
Tm 0.3814 0.3814 0.3059  4 Co 2.83-3.10, 7 Si 2.87-2.97
Tm 0.6186 0.6186 0.6941  4 Co 2.83-3.10, 7 Si 2.87-2.97
Co 0.3083 0.3083 0.6314  4 Si 2.27-2.35
Co 0.6917 0.6917 0.3686  4 Si 2.27-2.35
Si 0.1009 0.1009 0.4055  3 Co 2.27-2.35
Si 0.2830 0.2830 0.9205  1 Co 2.33, 2 Si 2.55
Si 0.7170 0.7170 0.0795  1 Co 2.33, 2 Si 2.55
Si 0.8991 0.8991 0.5945  3 Co 2.27-2.35

## Properties
Energy relative to the lowest polymorph listed for this composition in meV/atom: 0
Total magnetization in μB per formula unit: 0.000